1.
Compound: Ac2TbPr2Nd
Source: Alexandria via LeMat-Bulk
Functional: PBE-GGA
Structure: optimized geometry

Lattice parameters (Å, degrees): 7.395 5.978 10.304 90.00 90.00 90.00
Positions (direct):
Ac  0.000  0.000  0.000
Ac  0.250  0.500  0.173
Ac  0.500  0.000  0.000
Ac  0.750  0.500  0.827
Tb  0.250  0.000  0.664
Tb  0.750  0.000  0.336
Pr  0.250  0.000  0.343
Pr  0.250  0.500  0.826
Pr  0.750  0.000  0.657
Pr  0.750  0.500  0.174
Nd  0.000  0.500  0.500
Nd  0.500  0.500  0.500

Calculated values
Total moment: 0.00 μB/f.u.
Raw total energy: -4.456 eV per atom
Calculated volume: 455.6 Å³/cell

2.
Compound: AcTbPr2Nd
Source: Alexandria via LeMat-Bulk
Functional: PBE-GGA
Structure: optimized geometry

Lattice parameters (Å, degrees): 7.467 7.467 7.477 90.00 90.00 111.59
Positions (direct):
Ac  0.241  0.759  0.750
Ac  0.759  0.241  0.250
Tb  0.306  0.694  0.250
Tb  0.694  0.306  0.750
Pr  0.303  0.303  0.000
Pr  0.303  0.303  0.500
Pr  0.697  0.697  0.000
Pr  0.697  0.697  0.500
Nd  0.059  0.941  0.250
Nd  0.941  0.059  0.750

Calculated values
Total moment: 0.00 μB/f.u.
Raw total energy: -4.282 eV per atom
Calculated volume: 387.6 Å³/cell

3.
Compound: AcTb3PrNd
Source: Alexandria via LeMat-Bulk
Functional: PBE-GGA
Structure: optimized geometry

Lattice parameters (Å, degrees): 10.671 10.671 7.252 90.26 90.26 31.35
Positions (direct):
Ac  0.147  0.147  0.036
Ac  0.853  0.853  0.964
Tb  0.021  0.021  0.737
Tb  0.280  0.280  0.742
Tb  0.334  0.334  0.260
Tb  0.666  0.666  0.740
Tb  0.720  0.720  0.258
Tb  0.979  0.979  0.263
Pr  0.445  0.445  0.725
Pr  0.555  0.555  0.275
Nd  0.148  0.148  0.478
Nd  0.852  0.852  0.522

Calculated values
Total moment: 0.00 μB/f.u.
Raw total energy: -4.379 eV per atom
Calculated volume: 429.7 Å³/cell

4.
Compound: AcTb2Pr5Nd
Source: Alexandria via LeMat-Bulk
Functional: PBE-GGA
Structure: optimized geometry

Lattice parameters (Å, degrees): 12.590 12.590 9.625 90.00 90.00 153.93
Positions (direct):
Ac  0.103  0.897  0.500
Ac  0.897  0.103  0.000
Tb  0.328  0.672  0.746
Tb  0.388  0.612  0.362
Tb  0.612  0.388  0.862
Tb  0.672  0.328  0.246
Pr  0.024  0.976  0.827
Pr  0.104  0.896  0.107
Pr  0.189  0.811  0.800
Pr  0.241  0.759  0.431
Pr  0.493  0.507  0.606
Pr  0.507  0.493  0.106
Pr  0.759  0.241  0.931
Pr  0.811  0.189  0.300
Pr  0.896  0.104  0.607
Pr  0.976  0.024  0.327
Nd  0.265  0.735  0.107
Nd  0.735  0.265  0.607

Calculated values
Total moment: 0.00 μB/f.u.
Raw total energy: -4.531 eV per atom
Calculated volume: 670.4 Å³/cell

5.
Compound: Ac2Tb2Pr4Nd
Source: Alexandria via LeMat-Bulk
Functional: PBE-GGA
Structure: optimized geometry

Lattice parameters (Å, degrees): 9.868 9.868 9.170 90.49 90.49 21.94
Positions (direct):
Ac  0.111  0.111  0.171
Ac  0.889  0.889  0.829
Tb  0.331  0.331  0.497
Tb  0.669  0.669  0.503
Pr  0.221  0.221  0.827
Pr  0.442  0.442  0.176
Pr  0.558  0.558  0.824
Pr  0.779  0.779  0.173
Nd  0.000  0.000  0.500

Calculated values
Total moment: 0.00 μB/f.u.
Raw total energy: -4.562 eV per atom
Calculated volume: 333.6 Å³/cell

6.
Compound: AcTbPrNd
Source: Alexandria via LeMat-Bulk
Functional: PBE-GGA
Structure: optimized geometry

Lattice parameters (Å, degrees): 6.490 6.490 6.490 131.95 131.95 70.30
Positions (direct):
Ac  0.000  0.000  0.000
Tb  0.500  0.500  0.000
Pr  0.750  0.250  0.500
Nd  0.250  0.750  0.500

Calculated values
Total moment: 0.00 μB/f.u.
Energy relative to the lowest polymorph listed for this composition: 0 meV/atom
Raw total energy: -4.530 eV per atom
Calculated volume: 148.2 Å³/cell

7.
Compound: AcTbPr6Nd2
Source: Alexandria via LeMat-Bulk
Functional: PBE-GGA
Structure: optimized geometry

Lattice parameters (Å, degrees): 9.184 9.184 9.965 93.38 93.38 118.08
Positions (direct):
Ac  0.023  0.977  0.750
Ac  0.977  0.023  0.250
Tb  0.410  0.590  0.250
Tb  0.590  0.410  0.750
Pr  0.014  0.563  0.688
Pr  0.125  0.748  0.054
Pr  0.252  0.875  0.446
Pr  0.293  0.502  0.883
Pr  0.437  0.986  0.812
Pr  0.498  0.707  0.617
Pr  0.502  0.293  0.383
Pr  0.563  0.014  0.188
Pr  0.707  0.498  0.117
Pr  0.748  0.125  0.554
Pr  0.875  0.252  0.946
Pr  0.986  0.437  0.312
Nd  0.198  0.310  0.545
Nd  0.310  0.198  0.045
Nd  0.690  0.802  0.955
Nd  0.802  0.690  0.455

Calculated values
Total moment: 0.00 μB/f.u.
Raw total energy: -4.583 eV per atom
Calculated volume: 736.7 Å³/cell

8.
Compound: AcTb2Pr6Nd
Source: Alexandria via LeMat-Bulk
Functional: PBE-GGA
Structure: optimized geometry

Lattice parameters (Å, degrees): 9.136 9.136 9.959 93.49 93.49 117.64
Positions (direct):
Ac  0.028  0.972  0.750
Ac  0.972  0.028  0.250
Tb  0.199  0.305  0.547
Tb  0.305  0.199  0.047
Tb  0.695  0.801  0.953
Tb  0.801  0.695  0.453
Pr  0.015  0.557  0.681
Pr  0.116  0.751  0.054
Pr  0.249  0.884  0.446
Pr  0.295  0.508  0.881
Pr  0.443  0.985  0.819
Pr  0.492  0.705  0.619
Pr  0.508  0.295  0.381
Pr  0.557  0.015  0.181
Pr  0.705  0.492  0.119
Pr  0.751  0.116  0.554
Pr  0.884  0.249  0.946
Pr  0.985  0.443  0.319
Nd  0.409  0.591  0.250
Nd  0.591  0.409  0.750

Calculated values
Total moment: 0.00 μB/f.u.
Raw total energy: -4.568 eV per atom
Calculated volume: 731.2 Å³/cell

9.
Compound: Ac2TbPr4Nd2
Source: Alexandria via LeMat-Bulk
Functional: PBE-GGA
Structure: optimized geometry

Lattice parameters (Å, degrees): 9.955 9.955 10.119 115.15 115.15 21.95
Positions (direct):
Ac  0.146  0.146  0.167
Ac  0.854  0.854  0.833
Tb  0.000  0.000  0.500
Pr  0.184  0.184  0.829
Pr  0.482  0.482  0.181
Pr  0.518  0.518  0.819
Pr  0.816  0.816  0.171
Nd  0.335  0.335  0.497
Nd  0.665  0.665  0.503

Calculated values
Total moment: 0.00 μB/f.u.
Raw total energy: -4.582 eV per atom
Calculated volume: 337.9 Å³/cell

10.
Compound: Ac2TbPr2Nd4
Source: Alexandria via LeMat-Bulk
Functional: PBE-GGA
Structure: optimized geometry

Lattice parameters (Å, degrees): 9.945 9.945 10.085 115.24 115.24 21.95
Positions (direct):
Ac  0.146  0.146  0.165
Ac  0.854  0.854  0.835
Tb  0.000  0.000  0.500
Pr  0.336  0.336  0.496
Pr  0.664  0.664  0.504
Nd  0.184  0.184  0.831
Nd  0.482  0.482  0.181
Nd  0.518  0.518  0.819
Nd  0.816  0.816  0.169

Calculated values
Total moment: 0.00 μB/f.u.
Raw total energy: -4.581 eV per atom
Calculated volume: 335.8 Å³/cell

11.
Compound: AcTb2PrNd6
Source: Alexandria via LeMat-Bulk
Functional: PBE-GGA
Structure: optimized geometry

Lattice parameters (Å, degrees): 9.106 9.106 9.910 93.36 93.36 117.78
Positions (direct):
Ac  0.029  0.971  0.750
Ac  0.971  0.029  0.250
Tb  0.198  0.306  0.546
Tb  0.306  0.198  0.046
Tb  0.694  0.802  0.954
Tb  0.802  0.694  0.454
Pr  0.408  0.592  0.250
Pr  0.592  0.408  0.750
Nd  0.018  0.557  0.680
Nd  0.117  0.750  0.055
Nd  0.250  0.883  0.445
Nd  0.294  0.508  0.880
Nd  0.443  0.982  0.820
Nd  0.492  0.706  0.620
Nd  0.508  0.294  0.380
Nd  0.557  0.018  0.180
Nd  0.706  0.492  0.120
Nd  0.750  0.117  0.555
Nd  0.883  0.250  0.945
Nd  0.982  0.443  0.320

Calculated values
Total moment: 0.00 μB/f.u.
Raw total energy: -4.559 eV per atom
Calculated volume: 722.3 Å³/cell

12.
Compound: AcTb2PrNd5
Source: Alexandria via LeMat-Bulk
Functional: PBE-GGA
Structure: optimized geometry

Lattice parameters (Å, degrees): 12.506 12.506 9.596 90.00 90.00 153.80
Positions (direct):
Ac  0.102  0.898  0.500
Ac  0.898  0.102  0.000
Tb  0.329  0.671  0.746
Tb  0.388  0.612  0.362
Tb  0.612  0.388  0.862
Tb  0.671  0.329  0.246
Pr  0.265  0.735  0.108
Pr  0.735  0.265  0.608
Nd  0.024  0.976  0.825
Nd  0.103  0.897  0.106
Nd  0.189  0.811  0.801
Nd  0.241  0.759  0.432
Nd  0.493  0.507  0.603
Nd  0.507  0.493  0.103
Nd  0.759  0.241  0.932
Nd  0.811  0.189  0.301
Nd  0.897  0.103  0.606
Nd  0.976  0.024  0.325

Calculated values
Total moment: 0.00 μB/f.u.
Raw total energy: -4.524 eV per atom
Calculated volume: 662.6 Å³/cell

13.
Compound: Ac2TbPrNd5
Source: Alexandria via LeMat-Bulk
Functional: PBE-GGA
Structure: optimized geometry

Lattice parameters (Å, degrees): 10.809 10.809 11.015 90.00 90.00 148.39
Positions (direct):
Ac  0.114  0.886  0.500
Ac  0.117  0.883  0.087
Ac  0.883  0.117  0.587
Ac  0.886  0.114  0.000
Tb  0.206  0.794  0.778
Tb  0.794  0.206  0.278
Pr  0.410  0.590  0.233
Pr  0.590  0.410  0.733
Nd  0.019  0.981  0.791
Nd  0.281  0.719  0.082
Nd  0.295  0.705  0.473
Nd  0.388  0.612  0.789
Nd  0.483  0.517  0.511
Nd  0.517  0.483  0.011
Nd  0.612  0.388  0.289
Nd  0.705  0.295  0.973
Nd  0.719  0.281  0.582
Nd  0.981  0.019  0.291

Calculated values
Total moment: 0.00 μB/f.u.
Raw total energy: -4.475 eV per atom
Calculated volume: 674.5 Å³/cell

14.
Compound: Ac2TbPr5Nd
Source: Alexandria via LeMat-Bulk
Functional: PBE-GGA
Structure: optimized geometry

Lattice parameters (Å, degrees): 10.891 10.891 11.032 90.00 90.00 148.55
Positions (direct):
Ac  0.114  0.886  0.500
Ac  0.117  0.883  0.085
Ac  0.883  0.117  0.585
Ac  0.886  0.114  0.000
Tb  0.206  0.794  0.777
Tb  0.794  0.206  0.277
Pr  0.018  0.982  0.789
Pr  0.281  0.719  0.081
Pr  0.294  0.706  0.471
Pr  0.387  0.613  0.788
Pr  0.484  0.516  0.511
Pr  0.516  0.484  0.011
Pr  0.613  0.387  0.288
Pr  0.706  0.294  0.971
Pr  0.719  0.281  0.581
Pr  0.982  0.018  0.289
Nd  0.408  0.592  0.234
Nd  0.592  0.408  0.734

Calculated values
Total moment: 0.00 μB/f.u.
Raw total energy: -4.486 eV per atom
Calculated volume: 682.6 Å³/cell

15.
Compound: Ac3Pr2NdTe6
Source: Alexandria via LeMat-Bulk
Functional: PBE-GGA
Structure: optimized geometry

Lattice parameters (Å, degrees): 10.340 10.340 9.298 103.08 103.08 25.75
Positions (direct):
Ac  0.000  0.000  0.000
Ac  0.333  0.333  0.667
Ac  0.667  0.667  0.333
Pr  0.333  0.333  0.167
Pr  0.667  0.667  0.833
Nd  0.000  0.000  0.500
Te  0.163  0.163  0.589
Te  0.169  0.169  0.076
Te  0.498  0.498  0.258
Te  0.502  0.502  0.742
Te  0.831  0.831  0.924
Te  0.837  0.837  0.411

Calculated values
Total moment: 0.00 μB/f.u.
Raw total energy: -5.254 eV per atom
Raw formation energy: -1.462 eV per atom
Calculated volume: 420.1 Å³/cell

16.
Compound: Ac3PrNd4Te8
Source: Alexandria via LeMat-Bulk
Functional: PBE-GGA
Structure: optimized geometry

Lattice parameters (Å, degrees): 9.185 9.185 9.185 60.01 60.01 60.01
Positions (direct):
Ac  0.000  0.500  0.500
Ac  0.500  0.000  0.500
Ac  0.500  0.500  0.000
Pr  0.000  0.000  0.000
Nd  0.000  0.000  0.500
Nd  0.000  0.500  0.000
Nd  0.500  0.000  0.000
Nd  0.500  0.500  0.500
Te  0.241  0.749  0.749
Te  0.245  0.245  0.245
Te  0.251  0.251  0.759
Te  0.251  0.759  0.251
Te  0.749  0.241  0.749
Te  0.749  0.749  0.241
Te  0.755  0.755  0.755
Te  0.759  0.251  0.251

Calculated values
Total moment: 0.00 μB/f.u.
Raw total energy: -5.274 eV per atom
Raw formation energy: -1.442 eV per atom
Calculated volume: 548.0 Å³/cell

17.
Compound: Ac2Pr3NdTe6
Source: Alexandria via LeMat-Bulk
Functional: PBE-GGA
Structure: optimized geometry

Lattice parameters (Å, degrees): 7.962 7.962 7.981 99.59 99.59 120.35
Positions (direct):
Ac  0.165  0.835  0.000
Ac  0.835  0.165  0.000
Pr  0.000  0.000  0.500
Pr  0.328  0.672  0.500
Pr  0.672  0.328  0.500
Nd  0.500  0.500  0.000
Te  0.091  0.416  0.745
Te  0.263  0.263  0.262
Te  0.416  0.091  0.745
Te  0.584  0.909  0.255
Te  0.737  0.737  0.738
Te  0.909  0.584  0.255

Calculated values
Total moment: 0.00 μB/f.u.
Raw total energy: -5.300 eV per atom
Raw formation energy: -1.452 eV per atom
Calculated volume: 411.4 Å³/cell

18.
Compound: AcPr3Nd2Te6
Source: Alexandria via LeMat-Bulk
Functional: PBE-GGA
Structure: optimized geometry

Lattice parameters (Å, degrees): 7.897 7.897 7.911 99.59 99.59 120.38
Positions (direct):
Ac  0.000  0.000  0.000
Pr  0.161  0.839  0.500
Pr  0.500  0.500  0.500
Pr  0.839  0.161  0.500
Nd  0.332  0.668  0.000
Nd  0.668  0.332  0.000
Te  0.085  0.427  0.255
Te  0.261  0.261  0.753
Te  0.427  0.085  0.255
Te  0.573  0.915  0.745
Te  0.739  0.739  0.247
Te  0.915  0.573  0.745

Calculated values
Total moment: 0.00 μB/f.u.
Raw total energy: -5.343 eV per atom
Raw formation energy: -1.440 eV per atom
Calculated volume: 401.0 Å³/cell

19.
Compound: AcPrNdTh
Source: Alexandria via LeMat-Bulk
Functional: PBE-GGA
Structure: optimized geometry

Lattice parameters (Å, degrees): 5.928 5.928 5.928 60.00 60.00 60.00
Positions (direct):
Ac  0.000  0.000  0.000
Pr  0.250  0.250  0.250
Nd  0.750  0.750  0.750
Th  0.500  0.500  0.500

Calculated values
Total moment: 0.00 μB/f.u.
Energy relative to the lowest polymorph listed for this composition: 152 meV/atom
Raw total energy: -5.072 eV per atom
Calculated volume: 147.3 Å³/cell

20.
Compound: AcPrNdTh
Source: Alexandria via LeMat-Bulk
Functional: PBE-GGA
Structure: optimized geometry

Lattice parameters (Å, degrees): 3.711 3.711 10.741 90.00 90.00 90.00
Positions (direct):
Ac  0.000  0.000  0.000
Pr  0.500  0.500  0.725
Nd  0.500  0.500  0.272
Th  0.000  0.000  0.498

Calculated values
Total moment: 0.00 μB/f.u.
Energy relative to the lowest polymorph listed for this composition: 0 meV/atom
Raw total energy: -5.224 eV per atom
Calculated volume: 147.9 Å³/cell